Record 1
Al4Ga2Ag3 | PBE | optimized geometry

a b c (Å): 4.8672 5.2046 8.2584
angles (deg): 106.45 122.15 100.19
With the nearest neighbours (Å) after each atom.
Positions (direct):
Al 0.3453 0.6715 0.8910  3 Ga 2.73-2.97, 4 Ag 2.80-2.91, 4 Al 2.92-3.00
Al 0.6547 0.3285 0.1090  3 Ga 2.73-2.97, 4 Ag 2.80-2.91, 4 Al 2.92-3.00
Al 0.9961 0.9939 0.6666  5 Ag 2.73-3.04, 3 Al 2.79-2.93, 3 Ga 2.87-2.95
Al 0.0039 0.0061 0.3334  5 Ag 2.73-3.04, 3 Al 2.79-2.93, 3 Ga 2.87-2.95
Ag 0.3169 0.6718 0.5434  3 Ga 2.74-3.06, 6 Al 2.80-3.04, 3 Ag 2.86-3.03
Ag 0.0000 0.0000 0.0000  6 Al 2.73-2.88, 2 Ga 2.92, 2 Ag 3.03
Ag 0.6831 0.3282 0.4566  3 Ga 2.74-3.06, 6 Al 2.80-3.04, 3 Ag 2.86-3.03
Ga 0.3386 0.6704 0.2188  6 Al 2.73-2.97, 3 Ag 2.74-3.01, 1 Ga 2.95
Ga 0.6614 0.3296 0.7812  6 Al 2.73-2.97, 3 Ag 2.74-3.01, 1 Ga 2.95

Computed properties:
Space group: P-1

---

Record 2
Al5Ga6Ag | PBE | optimized geometry

a b c (Å): 5.4765 8.8305 6.4000
angles (deg): 121.30 98.81 113.47
With the nearest neighbours (Å) after each atom.
Positions (direct):
Al 0.6596 0.1596 0.3191  6 Ga 2.73-2.75
Al 0.0000 0.5000 0.0000  6 Ga 2.71-2.72
Al 0.6690 0.6690 0.3380  6 Ga 2.72-2.75
Al 0.3310 0.3310 0.6620  6 Ga 2.72-2.75
Al 0.3404 0.8404 0.6809  6 Ga 2.73-2.75
Ga 0.1639 0.4215 0.3365  5 Al 2.72-2.75, 1 Ag 2.78
Ga 0.4947 0.7443 0.0000  5 Al 2.71-2.73, 1 Ag 2.79
Ga 0.8274 0.0850 0.6635  5 Al 2.72-2.75, 1 Ag 2.78
Ga 0.5053 0.2557 0.0000  5 Al 2.71-2.73, 1 Ag 2.79
Ga 0.1726 0.9150 0.3365  5 Al 2.72-2.75, 1 Ag 2.78
Ga 0.8361 0.5785 0.6635  5 Al 2.72-2.75, 1 Ag 2.78
Ag 0.0000 0.0000 0.0000  6 Ga 2.78-2.79

Computed properties:
Space group: C2/m

---

Record 3
Al3GaAg | PBE | optimized geometry

a b c (Å): 6.3396 6.3396 11.1676
angles (deg): 87.85 87.85 55.90
With the nearest neighbours (Å) after each atom.
Positions (direct):
Al 0.9694 0.7895 0.3115  2 Ag 2.65-2.68, 2 Al 2.78-2.88, 2 Ga 2.81-2.86
Al 0.7624 0.2221 0.0160  2 Ga 2.62-2.85, 2 Ag 2.63-2.73, 3 Al 2.76-2.91
Al 0.2105 0.0306 0.1885  2 Ag 2.65-2.68, 2 Al 2.78-2.88, 2 Ga 2.81-2.86
Al 0.2045 0.3962 0.8659  2 Ag 2.59-2.64, 2 Ga 2.63-2.80, 1 Al 2.88
Al 0.2221 0.7624 0.5160  2 Ga 2.62-2.85, 2 Ag 2.63-2.73, 3 Al 2.76-2.91
Al 0.7779 0.2376 0.4840  2 Ga 2.62-2.85, 2 Ag 2.63-2.73, 3 Al 2.76-2.91
Al 0.2376 0.7779 0.9840  2 Ga 2.62-2.85, 2 Ag 2.63-2.73, 3 Al 2.76-2.91
Al 0.0306 0.2105 0.6885  2 Ag 2.65-2.68, 2 Al 2.78-2.88, 2 Ga 2.81-2.86
Al 0.7895 0.9694 0.8115  2 Ag 2.65-2.68, 2 Al 2.78-2.88, 2 Ga 2.81-2.86
Al 0.6038 0.7955 0.6341  2 Ag 2.59-2.64, 2 Ga 2.63-2.80, 1 Al 2.88
Al 0.7955 0.6038 0.1341  2 Ag 2.59-2.64, 2 Ga 2.63-2.80, 1 Al 2.88
Al 0.3962 0.2045 0.3659  2 Ag 2.59-2.64, 2 Ga 2.63-2.80, 1 Al 2.88
Ag 0.7211 0.2789 0.2500  6 Al 2.63-2.65, 2 Ga 2.73
Ag 0.0000 0.5000 0.5000  6 Al 2.59-2.73, 2 Ga 2.76
Ag 0.5000 0.0000 0.0000  6 Al 2.59-2.73, 2 Ga 2.76
Ag 0.2789 0.7211 0.7500  6 Al 2.63-2.65, 2 Ga 2.73
Ga 0.2824 0.4310 0.1367  6 Al 2.62-2.86, 2 Ag 2.73-2.76
Ga 0.5690 0.7176 0.3633  6 Al 2.62-2.86, 2 Ag 2.73-2.76
Ga 0.7176 0.5690 0.8633  6 Al 2.62-2.86, 2 Ag 2.73-2.76
Ga 0.4310 0.2824 0.6367  6 Al 2.62-2.86, 2 Ag 2.73-2.76

Computed properties:
Space group: C2/c

---

Sequential ΔE_f output: 0.009, 0.059, 0.070 eV/atom